NiRu2W after structural relaxation. Source: Alexandria via LeMat-Bulk, functional GGA-PBE.

Cell lengths 3.8518, 3.8519, 3.6921 Å; angles 90.00, 90.00, 90.00 degrees
Last column: nearest neighbours and their distance in Å.
Element x y z (fractional)
Ru 0.0000 0.0000 0.0000  4 W 2.67, 4 Ni 2.67, 4 Ru 2.72
Ru 0.5000 0.5000 0.0000  4 Ni 2.67, 4 W 2.67, 4 Ru 2.72
W 0.5000 0.0000 0.5000  8 Ru 2.67, 4 Ni 2.72
Ni 0.0000 0.5000 0.5000  8 Ru 2.67, 4 W 2.72

Computed properties:
ΔE_f, eV/atom: -0.044
Density of states at the Fermi level, states/eV per cell: 1.9
Crystal system: tetragonal
Space-group type: P4/mmm (123)